## MnVBiO5 (PBE+U)

Data for a relaxed structure of MnVBiO5.

Lattice parameters (Å, degrees): 5.4741 7.0473 7.1272 110.07 107.09 97.02
Sites, in units of the cell vectors:
Mn 0.1708 0.1291 0.2709
Mn 0.8292 0.8709 0.7291
V 0.1613 0.6810 0.3866
V 0.8387 0.3190 0.6134
Bi 0.3929 0.7421 0.9592
Bi 0.6071 0.2579 0.0408
O 0.0671 0.4136 0.2136
O 0.1116 0.2535 0.5679
O 0.2366 0.0041 0.9512
O 0.2755 0.8374 0.2669
O 0.4114 0.7188 0.6281
O 0.5886 0.2812 0.3719
O 0.7245 0.1626 0.7331
O 0.7634 0.9959 0.0488
O 0.8884 0.7465 0.4321
O 0.9329 0.5864 0.7864

---

## CrRuO2 (PBE+U)

Data for a relaxed structure of CrRuO2.

Lattice parameters (Å, degrees): 3.8105 3.8105 3.8105 60.00 60.00 60.00
Sites, in units of the cell vectors:
Cr 0.0000 0.0000 0.0000
Ru 0.5000 0.5000 0.5000
O 0.2500 0.2500 0.2500
O 0.7500 0.7500 0.7500

---

no.,raw total energy (eV/cell)
1,-114.58
2,-24.87